{"formula": "In2GaNiBr", "functional": "PBE", "state": "optimized geometry", "lattice": [[5.086, 0.000, 0.000], [0.000, 5.086, 0.000], [0.000, 0.000, 4.645]], "species": ["In", "In", "Ga", "Ni", "Br"], "fractional_positions": [[0.000, 0.500, 0.000], [0.500, 0.000, 0.000], [0.000, 0.000, 0.500], [0.000, 0.000, 0.000], [0.500, 0.500, 0.500]], "magnetic_moment_mub_per_atom": 0.000, "spacegroup": "P4/mmm", "e_form_raw_ev_per_atom": -0.3329, "dft_energy_ev_per_cell": -17.6}